# 1
Density functional theory data (PBEsol) for a relaxed NaCa2As crystal.

## Properties
Fermi-level density of states: 0.7118 states/eV per atom
space group: I-42d, No. 122
E_form: -142 kJ/mol of formula units
E_tot: -3.0620 eV/atom

POSCAR file:
```
NaCa2As
1.0
7.0852 0.0139 0.0000
-3.4951 6.1632 0.0000
-1.7950 -3.0885 6.1188
Na As Ca
2 2 4
Direct
0.5000 0.5000 0.0000 Na
0.7500 0.2500 0.5000 Na
0.0000 0.0000 0.0000 As
0.2500 0.7500 0.5000 As
0.6250 0.6952 0.5702 Ca
0.1250 0.0548 0.4298 Ca
0.9452 0.3750 0.0702 Ca
0.3048 0.8750 0.9298 Ca
```



# 2
Density functional theory data (PBEsol) for a relaxed NaCaAsO4 crystal.

## Properties
Fermi-level density of states: 0.0000 states/eV per atom
polymorph energy (0 for the lowest one): 0 meV per atom
space group: Pnma, No. 62
E_tot: -6.3390 eV/atom
formation energy from raw total energies: -2.105 eV per atom

POSCAR file:
```
NaCaAsO4
1.0
-2.5420 0.1338 4.5856
-4.7757 -3.8460 -2.5351
5.7143 -9.3637 3.4409
Na Ca As O
4 4 4 16
Direct
0.0000 0.0000 0.5000 Na
0.5000 0.5000 0.0000 Na
0.0000 0.5000 0.5000 Na
0.5000 0.0000 0.0000 Na
0.4959 0.2500 0.2800 Ca
0.0041 0.2500 0.7800 Ca
0.5041 0.7500 0.7200 Ca
0.9959 0.7500 0.2200 Ca
0.5665 0.2500 0.5981 As
0.9335 0.2500 0.0981 As
0.4335 0.7500 0.4019 As
0.0665 0.7500 0.9019 As
0.6853 0.2500 0.4594 O
0.8147 0.2500 0.9594 O
0.3147 0.7500 0.5406 O
0.1853 0.7500 0.0406 O
0.2425 0.2500 0.6042 O
0.2575 0.2500 0.1042 O
0.7575 0.7500 0.3958 O
0.7425 0.7500 0.8958 O
0.7059 0.4516 0.6688 O
0.7941 0.0484 0.1688 O
0.2941 0.9516 0.3312 O
0.2059 0.5484 0.8312 O
0.2941 0.5484 0.3312 O
0.2059 0.9516 0.8312 O
0.7059 0.0484 0.6688 O
0.7941 0.4516 0.1688 O
```